[1]
YCrNi after structural relaxation. Source: Alexandria via LeMat-Bulk, functional PBE-GGA.

POSCAR file:
```
YCrNi
1.0
0.0000 3.1390 3.1390
3.1390 0.0000 3.1390
3.1390 3.1390 0.0000
Y Cr Ni
1 1 1
direct
0.0000 0.0000 0.0000 Y
0.5000 0.5000 0.5000 Cr
0.7500 0.7500 0.7500 Ni
```

Summary:
ΔH_f (0 K) (meV per atom): 259
ΔE to the lowest computed polymorph (meV/atom): 158

[2]
Tb3SmAg after structural relaxation. Source: Alexandria via LeMat-Bulk, functional PBE-GGA.

POSCAR file:
```
Tb3SmAg
1.0
5.7491 -4.1917 0.0000
5.7491 4.1917 0.0000
-4.0402 0.0000 6.6521
Tb Sm Ag
6 2 2
direct
0.0543 0.0543 0.3106 Tb
0.1168 0.5300 0.3059 Tb
0.4700 0.8832 0.6941 Tb
0.5300 0.1168 0.3059 Tb
0.8832 0.4700 0.6941 Tb
0.9457 0.9457 0.6894 Tb
0.4184 0.4184 0.7340 Sm
0.5816 0.5816 0.2660 Sm
0.2567 0.2567 0.9456 Ag
0.7433 0.7433 0.0544 Ag
```

Summary:
ΔH_f (0 K) (meV per atom): 54